# 1
Here is an optimized crystal structure of Ho2ErTi from the Alexandria database. Energies are from PBE-GGA.

It has space group R3m (No. 160, hexagonal axes), with a = 3.3984 Å, b = 3.3984 Å, c = 32.4476 Å, α = 90.00°, β = 90.00° and γ = 120.00°. The asymmetric unit holds Ho at (0.0000, 0.0000, 0.0000), Ho at (0.0000, 0.0000, 0.1813), Er at (0.0000, 0.0000, 0.4239) and Ti at (0.0000, 0.0000, 0.5903).

Its energy above the most stable polymorph in this dataset is 27 meV per atom. Its formation enthalpy at 0 K is 187 meV per atom.

***

# 2
Here is an optimized crystal structure of Sr6AgRh2I3 from the Alexandria database. Energies are from PBE-GGA.

It has space group C2/m (No. 12), with a = 7.747 Å, b = 13.390 Å, c = 8.658 Å, α = 90.00°, β = 107.31° and γ = 90.00°. The asymmetric unit holds Sr at (0.206, 0.000, 0.199), Sr at (0.248, 0.320, 0.202), Ag at (0.000, 0.500, 0.000), Rh at (0.000, 0.168, 0.000), I at (0.000, 0.000, 0.500) and I at (0.000, 0.339, 0.500).

Its uncorrected formation energy is -0.767 eV/atom.

***

# 3
Here is an optimized crystal structure of ZnInFe2 from the Alexandria database. Energies are from PBE-GGA.

It has space group C2/m (No. 12), with a = 5.410 Å, b = 7.942 Å, c = 2.762 Å, α = 90.00°, β = 90.68° and γ = 90.00°. The asymmetric unit holds Zn at (0.000, 0.000, 0.000), In at (0.000, 0.500, 0.000) and Fe at (0.250, 0.250, 0.500).

Its formation enthalpy at 0 K is 222 meV per atom.

***

# 4
Here is an optimized crystal structure of Al2PdAu from the Alexandria database. Energies are from PBE-GGA.

It has space group P4/mmm (No. 123), with a = 4.376 Å, b = 4.376 Å, c = 3.225 Å, α = 90.00°, β = 90.00° and γ = 90.00°. The asymmetric unit holds Al at (0.000, 0.500, 0.000), Pd at (0.000, 0.000, 0.500) and Au at (0.500, 0.500, 0.500).

Its formation enthalpy at 0 K is -569 meV per atom.

***

# 5
Here is an optimized crystal structure of PbCl from the Alexandria database. Energies are from PBE-GGA.

It has space group P-3m1 (No. 164), with a = 3.6776 Å, b = 3.6776 Å, c = 10.5004 Å, α = 90.00°, β = 90.00° and γ = 120.00°. The asymmetric unit holds Pb at (0.3333, 0.6667, 0.1493) and Cl at (0.3333, 0.6667, 0.6636).

Its uncorrected formation energy is -0.479 eV/atom.

***

# 6
Here is an optimized crystal structure of Pm3GaCu from the Alexandria database. Energies are from PBE-GGA.

It has space group P2_1/c (No. 14), with a = 9.487 Å, b = 7.315 Å, c = 8.559 Å, α = 90.00°, β = 113.27° and γ = 90.00°. The asymmetric unit holds Pm at (0.059, 0.010, 0.212), Pm at (0.306, 0.165, 0.606), Pm at (0.343, 0.669, 0.475), Ga at (0.080, 0.656, 0.048) and Cu at (0.415, 0.035, 0.341).

Its formation enthalpy at 0 K is -254 meV per atom.

***

Number 1: DOS at the Fermi energy 19.57 states/eV/cell. Number 2: DOS at the Fermi energy 11.52 states/eV/cell. Number 3: DOS at the Fermi energy 5.61 states/eV/cell. Number 4: DOS at the Fermi energy 0.78 states/eV/cell. Number 5: DOS at the Fermi energy 2.03 states/eV/cell. Number 6: DOS at the Fermi energy 24.42 states/eV/cell.